#a
Entry from the Alexandria database: a relaxed structure of NiIrW3 (PBE-GGA).

abc: 4.723 4.723 4.723
angles: 90.00 90.00 90.00
Fractional positions:
Ni 0.000 0.000 0.000
Ir 0.500 0.500 0.500
W 0.000 0.500 0.500
W 0.500 0.000 0.500
W 0.500 0.500 0.000



#b
Entry from the Alexandria database: a relaxed structure of NiIrW3 (PBE-GGA).

abc: 4.410 4.410 4.410
angles: 90.00 90.00 90.00
Fractional positions:
Ni 0.000 0.000 0.000
Ir 0.500 0.500 0.500
W 0.000 0.000 0.500
W 0.000 0.500 0.000
W 0.500 0.000 0.000



In eV/atom, relative to the most stable structure: #a 0.658; #b 0.000.



#a
Entry from the Alexandria database: a relaxed structure of NiIr3W (PBE-GGA).

abc: 4.372 4.372 4.372
angles: 90.00 90.00 90.00
Fractional positions:
Ni 0.000 0.000 0.000
Ir 0.000 0.000 0.500
Ir 0.000 0.500 0.000
Ir 0.500 0.000 0.000
W 0.500 0.500 0.500



#b
Entry from the Alexandria database: a relaxed structure of NiIr3W (PBE-GGA).

abc: 4.654 4.685 7.239
angles: 71.14 84.16 71.81
Fractional positions:
Ni 0.250 0.147 0.205
Ni 0.750 0.853 0.795
Ir 0.250 0.554 0.391
Ir 0.250 0.951 0.598
Ir 0.251 0.755 0.990
Ir 0.749 0.245 0.010
Ir 0.750 0.049 0.402
Ir 0.750 0.446 0.609
W 0.250 0.348 0.804
W 0.750 0.652 0.196



#c
Entry from the Alexandria database: a relaxed structure of NiIr3W (PBE-GGA).

abc: 4.722 4.722 4.722
angles: 90.00 90.00 90.00
Fractional positions:
Ni 0.000 0.000 0.000
Ir 0.000 0.500 0.500
Ir 0.500 0.000 0.500
Ir 0.500 0.500 0.000
W 0.500 0.500 0.500



In eV/atom, relative to the most stable structure: #a 1.758; #b 0.000; #c 2.058.



#a
Entry from the Alexandria database: a relaxed structure of YNi2Ir (PBE-GGA).

abc: 4.091 4.091 4.324
angles: 90.00 90.00 99.96
Fractional positions:
Y 0.000 0.000 0.000
Ni 0.311 0.689 0.500
Ni 0.689 0.311 0.500
Ir 0.500 0.500 0.000



#b
Entry from the Alexandria database: a relaxed structure of YNi2Ir (PBE-GGA).

abc: 4.674 4.674 4.674
angles: 128.12 128.12 76.43
Fractional positions:
Y 0.000 0.000 0.000
Ni 0.250 0.750 0.500
Ni 0.750 0.250 0.500
Ir 0.500 0.500 0.000



#c
Entry from the Alexandria database: a relaxed structure of YNi2Ir (PBE-GGA).

abc: 4.472 4.472 4.472
angles: 60.00 60.00 60.00
Fractional positions:
Y 0.000 0.000 0.000
Ni 0.250 0.250 0.250
Ni 0.500 0.500 0.500
Ir 0.750 0.750 0.750



In eV/atom, relative to the most stable structure: #a 0.262; #b 0.000; #c 0.161.



#a
Entry from the Alexandria database: a relaxed structure of YNiIr2 (PBE-GGA).

abc: 4.855 4.855 4.928
angles: 102.10 102.10 36.28
Fractional positions:
Y 0.000 0.000 0.000
Ni 0.239 0.239 0.732
Ir 0.502 0.502 0.497
Ir 0.762 0.762 0.334



#b
Entry from the Alexandria database: a relaxed structure of YNiIr2 (PBE-GGA).

abc: 2.986 4.491 4.856
angles: 90.00 90.00 90.00
Fractional positions:
Y 0.000 0.000 0.000
Ni 0.500 0.500 0.163
Ir 0.000 0.500 0.598
Ir 0.500 0.000 0.495



In eV/atom, relative to the most stable structure: #a 0.043; #b 0.000.



#a
Entry from the Alexandria database: a relaxed structure of YNiIr2 (PBE-GGA).

abc: 5.253 6.577 8.597
angles: 82.98 76.12 80.12
Fractional positions:
Y 0.000 0.000 0.000
Y 0.000 0.500 0.000
Y 0.243 0.326 0.596
Y 0.757 0.674 0.404
Ni 0.198 0.854 0.449
Ni 0.496 0.302 0.039
Ni 0.504 0.698 0.961
Ni 0.802 0.146 0.551
Ir 0.129 0.222 0.296
Ir 0.334 0.573 0.244
Ir 0.348 0.767 0.708
Ir 0.476 0.929 0.171
Ir 0.524 0.071 0.829
Ir 0.652 0.233 0.292
Ir 0.666 0.427 0.756
Ir 0.871 0.778 0.704



#b
Entry from the Alexandria database: a relaxed structure of YNiIr2 (PBE-GGA).

abc: 9.053 9.053 9.053
angles: 152.02 152.02 39.99
Fractional positions:
Y 0.000 0.000 0.000
Y 0.750 0.250 0.500
Ni 0.250 0.750 0.500
Ni 0.500 0.500 0.000
Ir 0.259 0.625 0.134
Ir 0.375 0.509 0.634
Ir 0.491 0.125 0.866
Ir 0.875 0.741 0.366



#c
Entry from the Alexandria database: a relaxed structure of YNiIr2 (PBE-GGA).

abc: 3.982 3.982 4.067
angles: 90.00 90.00 90.00
Fractional positions:
Y 0.000 0.000 0.000
Ni 0.500 0.500 0.000
Ir 0.000 0.500 0.500
Ir 0.500 0.000 0.500



In eV/atom, relative to the most stable structure: #a 0.000; #b 0.387; #c 0.111.



#a
Entry from the Alexandria database: a relaxed structure of YNiIr2 (PBE-GGA).

abc: 9.000 9.000 9.000
angles: 18.64 18.64 18.64
Fractional positions:
Y 0.000 0.000 0.000
Ni 0.500 0.500 0.500
Ir 0.240 0.240 0.240
Ir 0.760 0.760 0.760



#b
Entry from the Alexandria database: a relaxed structure of YNiIr2 (PBE-GGA).

abc: 4.860 4.860 4.918
angles: 102.29 102.29 35.32
Fractional positions:
Y 0.000 0.000 0.000
Ni 0.500 0.500 0.500
Ir 0.238 0.238 0.713
Ir 0.762 0.762 0.287



In eV/atom, relative to the most stable structure: #a 0.426; #b 0.000.